A plane-wave DFT calculation with PBE was carried out for an optimized crystal structure of HoTlTe3Au.

Values from the calculation:
* space group: No. 63
* crystal system: orthorhombic
* final energy: -3.9576 eV per atom
* energy above the lowest structure with this stoichiometry: 0 meV/atom

Unit cell a=8.1866 b=8.1866 c=11.1938 alpha=90.00 beta=90.00 gamma=150.43
Sites, in units of the cell vectors:
Ho (0.0000, 0.0000, 0.0000)
Te (0.6382, 0.3618, 0.0511)
Ho (0.0000, 0.0000, 0.5000)
Tl (0.2365, 0.7635, 0.2500)
Te (0.3618, 0.6382, 0.5511)
Au (0.5331, 0.4669, 0.2500)
Tl (0.7635, 0.2365, 0.7500)
Te (0.3618, 0.6382, 0.9489)
Te (0.6382, 0.3618, 0.4489)
Te (0.0836, 0.9164, 0.7500)
Au (0.4669, 0.5331, 0.7500)
Te (0.9164, 0.0836, 0.2500)



A plane-wave DFT calculation with PBE was carried out for an optimized crystal structure of HoTlTe3Au.

Values from the calculation:
* space group: No. 11
* crystal system: monoclinic
* final energy: -3.9403 eV per atom
* energy above the lowest structure with this stoichiometry: 17 meV/atom

Unit cell a=8.8341 b=4.2012 c=10.9224 alpha=90.00 beta=110.46 gamma=90.00
Sites, in units of the cell vectors:
Te (0.2564, 0.2500, 0.5492)
Te (0.7436, 0.7500, 0.4508)
Tl (0.2606, 0.7500, 0.2930)
Tl (0.7394, 0.2500, 0.7070)
Au (0.9135, 0.2500, 0.3881)
Te (0.9414, 0.2500, 0.1456)
Ho (0.6957, 0.7500, 0.1579)
Te (0.0586, 0.7500, 0.8544)
Ho (0.3043, 0.2500, 0.8421)
Au (0.0865, 0.7500, 0.6119)
Te (0.4353, 0.2500, 0.1398)
Te (0.5647, 0.7500, 0.8602)



A plane-wave DFT calculation with PBE was carried out for an optimized crystal structure of YHo2Tm3Te2Au.

Values from the calculation:
* space group: No. 38
* crystal system: orthorhombic
* final energy: -5.0741 eV per atom

Unit cell a=3.9569 b=8.3648 c=8.3648 alpha=119.84 beta=90.00 gamma=90.00
Sites, in units of the cell vectors:
Au (0.0000, 0.0004, 0.0004)
Ho (0.0000, 0.0000, 0.4024)
Te (0.5000, 0.3331, 0.6666)
Ho (0.0000, 0.4024, 0.0000)
Tm (0.5000, 0.0007, 0.7499)
Tm (0.5000, 0.7499, 0.0007)
Tm (0.5000, 0.2494, 0.2494)
Te (0.5000, 0.6666, 0.3331)
Y (0.0000, 0.5974, 0.5974)



A plane-wave DFT calculation with PBE was carried out for an optimized crystal structure of YHoTlAu2.

Values from the calculation:
* space group: No. 38
* crystal system: orthorhombic
* final energy: -4.6591 eV per atom

Unit cell a=3.5677 b=7.7455 c=7.7455 alpha=34.06 beta=90.00 gamma=90.00
Sites, in units of the cell vectors:
Au (0.5000, 0.1963, 0.1963)
Tl (0.5000, 0.0002, 0.0002)
Au (0.5000, 0.8053, 0.8053)
Y (0.0000, 0.6292, 0.6292)
Ho (0.0000, 0.3689, 0.3689)



A plane-wave DFT calculation with PBE was carried out for an optimized crystal structure of HoTmAu4.

Values from the calculation:
* space group: No. 123
* crystal system: tetragonal
* ΔH_f (0 K): -0.8842 eV per atom
* final energy: -4.5705 eV per atom

Unit cell a=3.7037 b=3.7037 c=9.0170 alpha=90.00 beta=90.00 gamma=90.00
Sites, in units of the cell vectors:
Au (0.5000, 0.5000, 0.3341)
Au (0.0000, 0.0000, 0.1631)
Tm (0.5000, 0.5000, 0.0000)
Au (0.0000, 0.0000, 0.8369)
Ho (0.0000, 0.0000, 0.5000)
Au (0.5000, 0.5000, 0.6659)



A plane-wave DFT calculation with PBE was carried out for an optimized crystal structure of HoTmAu.

Values from the calculation:
* space group: No. 216
* crystal system: cubic
* ΔH_f (0 K): -0.4716 eV per atom
* final energy: -4.5777 eV per atom
* energy above the lowest structure with this stoichiometry: 189 meV/atom

Unit cell a=4.8929 b=4.8929 c=4.8929 alpha=60.00 beta=60.00 gamma=60.00
Sites, in units of the cell vectors:
Ho (0.2500, 0.2500, 0.2500)
Tm (0.7500, 0.7500, 0.7500)
Au (0.0000, 0.0000, 0.0000)



Sequential total moment output: 0.0, 0.0, 0.0, 0.0, 0.0, 0.1 μB per formula unit